# 1
The following is a PBE-GGA calculation of an optimized crystal structure of TiCu2HgS4, from Alexandria via LeMat-Bulk.

a b c (Å): 5.5262 5.5262 6.6745
angles (deg): 114.45 114.45 90.00
Last column: nearest neighbours and their distance in Å.
Element x y z (fractional)
Ti1 0.5000 0.5000 0.0001  4 S 2.31
Cu1 0.7500 0.2500 0.5001  4 S 2.32
Cu2 0.2500 0.7500 0.5001  4 S 2.32
Hg1 0.0000 0.0000 0.0001  4 S 2.59
S1 0.5920 0.5920 0.7286  1 Ti 2.31, 2 Cu 2.32
S2 0.4081 0.8635 0.2715  1 Ti 2.31, 2 Cu 2.32
S3 0.8635 0.4081 0.2715  1 Ti 2.31, 2 Cu 2.32
S4 0.1366 0.1366 0.7286  1 Ti 2.31, 2 Cu 2.32

---

# 2
The following is a PBE-GGA calculation of an optimized crystal structure of ZrReSi2, from Alexandria via LeMat-Bulk.

a b c (Å): 4.2131 3.2231 4.9306
angles (deg): 89.89 90.00 90.00
Last column: nearest neighbours and their distance in Å.
Element x y z (fractional)
Re1 0.5000 0.7500 0.7500  4 Si 2.45
Si1 0.0000 0.7520 0.0022  2 Si 2.44-2.49, 2 Re 2.45
Si2 0.0000 0.7480 0.4978  2 Si 2.44-2.49, 2 Re 2.45
Zr1 0.5000 0.2500 0.2500  8 Si 2.92, 4 Re 2.94-2.95, 2 Zr 3.22

---

| no. | ΔE_f (raw) (meV/atom) | DFT total energy (Ha/atom) |
| --- | --- | --- |
| 1 | -578 | -0.172 |
| 2 | -369 | -0.306 |